(1)
{"formula": "ScPb2Br", "functional": "PBE", "state": "relaxed", "dft_energy_ev_per_atom": -4.3076, "lattice": [[3.5293, -0.0114, 0.0000], [-1.6368, 3.1267, 0.0000], [0.0000, 0.0000, 10.8119]], "species": ["Sc", "Br", "Pb", "Pb"], "frac_coords": [[0.0000, 0.0000, 0.5081], [0.5000, 0.5000, 0.6890], [0.0000, 0.0000, 0.0225], [0.5000, 0.5000, 0.2803]]}

(2)
{"formula": "ScPbBr", "functional": "PBE", "state": "relaxed", "dft_energy_ev_per_atom": -4.3204, "lattice": [[-2.8495, 4.0070, 0.3109], [-2.0541, -4.4523, -0.4795], [-0.0925, -0.3455, 3.6044]], "species": ["Sc", "Pb", "Br"], "frac_coords": [[0.3333, 0.6667, 0.8335], [0.6667, 0.3333, 0.3334], [0.0000, 0.0000, 0.8331]]}

(3)
{"formula": "ScPb3Br", "functional": "PBE", "state": "relaxed", "dft_energy_ev_per_atom": -3.6359, "lattice": [[5.7295, 0.0000, 0.0000], [0.0000, 5.7295, 0.0000], [0.0000, 0.0000, 5.7295]], "species": ["Br", "Pb", "Pb", "Pb", "Sc"], "frac_coords": [[0.5000, 0.5000, 0.5000], [0.0000, 0.5000, 0.0000], [0.5000, 0.0000, 0.0000], [0.0000, 0.0000, 0.5000], [0.0000, 0.0000, 0.0000]]}

(4)
{"formula": "ScPb2Br", "functional": "PBE", "state": "relaxed", "dft_energy_ev_per_atom": -3.7945, "lattice": [[-0.5932, -3.3876, 4.2140], [1.3334, 1.6359, 5.0132], [-3.8919, 0.9055, 3.6905]], "species": ["Sc", "Br", "Pb", "Pb"], "frac_coords": [[0.0000, 0.0000, 0.0000], [0.5000, 0.5000, 0.5000], [0.7500, 0.7500, 0.7500], [0.2500, 0.2500, 0.2500]]}

| no. | density of states at the Fermi level (states/eV/f.u.) | energy above the lowest structure with this stoichiometry (kJ/mol of formula units) | uncorrected formation energy (eV per atom) |
| --- | --- | --- | --- |
| 1 | 2.37 | 35 | -0.452 |
| 2 | 4.86 | 101 | -0.416 |
| 3 | 5.37 | 0 | 0.190 |
| 4 | 3.85 | 233 | 0.061 |